[1]
Material: Y2ZrGaBr
Method: DFT, PBE-GGA
State: relaxed

Unit cell a=5.5113 b=5.5113 c=5.1534 alpha=90.00 beta=90.00 gamma=90.00
Space group P4/mmm (No. 123)
Symmetry-distinct sites (fractional):
1 Y 0.0000 0.5000 0.0000
2 Zr 0.0000 0.0000 0.5000
3 Ga 0.0000 0.0000 0.0000
4 Br 0.5000 0.5000 0.5000

Output
**ΔE_f (raw)**: 0.1312 eV/atom

[2]
Material: TbAlCdHg
Method: DFT, PBE-GGA
State: relaxed

Unit cell a=7.1481 b=7.1481 c=7.1481 alpha=90.00 beta=90.00 gamma=90.00
Space group F-43m (No. 216)
Symmetry-distinct sites (fractional):
1 Tb 0.0000 0.0000 0.0000
2 Al 0.2500 0.2500 0.7500
3 Cd 0.0000 0.0000 0.5000
4 Hg 0.2500 0.2500 0.2500

Output
**Energy**: -42.2 eV/cell

What did the first record say?
Material: Y2ZrGaBr
Method: DFT, PBE-GGA
State: relaxed

Unit cell a=5.5113 b=5.5113 c=5.1534 alpha=90.00 beta=90.00 gamma=90.00
Space group P4/mmm (No. 123)
Symmetry-distinct sites (fractional):
1 Y 0.0000 0.5000 0.0000
2 Zr 0.0000 0.0000 0.5000
3 Ga 0.0000 0.0000 0.0000
4 Br 0.5000 0.5000 0.5000

Output
**ΔE_f (raw)**: 0.1312 eV/atom